1.
# Hf2GaC PBE-GGA optimized geometry
data_Hf2GaC
_cell_length_a 3.635
_cell_length_b 3.440
_cell_length_c 10.258
_cell_angle_alpha 99.65
_cell_angle_beta 90.00
_cell_angle_gamma 90.00
_space_group_name_H-M_alt 'P 1'
_space_group_IT_number 1
loop_
_space_group_symop_operation_xyz
'x,y,z'
loop_
_atom_site_label
_atom_site_type_symbol
_atom_site_fract_x
_atom_site_fract_y
_atom_site_fract_z
_atom_site_occupancy
Hf1 Hf 0.750 0.696 0.392 1
Hf2 Hf 0.250 0.304 0.608 1
Hf3 Hf 0.750 0.911 0.822 1
Hf4 Hf 0.250 0.089 0.178 1
Ga1 Ga 0.250 0.459 0.919 1
Ga2 Ga 0.750 0.541 0.081 1
C1 C 0.250 0.195 0.391 1
C2 C 0.750 0.805 0.609 1
# Calculated formation energy (meV per atom): -562
# Electronic total energy (eV per atom): -8.60
# SG: No. 63
# Density (Mg/m³): 11.52
# Spin magnetization (μB/atom): 0.00
# Fermi-level density of states (states/eV/cell): 2.7
# Crystal system: orthorhombic

***

2.
# HfGaC PBE-GGA optimized geometry
data_HfGaC
_cell_length_a 3.262
_cell_length_b 3.262
_cell_length_c 9.078
_cell_angle_alpha 100.35
_cell_angle_beta 100.35
_cell_angle_gamma 90.00
_space_group_name_H-M_alt 'P 1'
_space_group_IT_number 1
loop_
_space_group_symop_operation_xyz
'x,y,z'
loop_
_atom_site_label
_atom_site_type_symbol
_atom_site_fract_x
_atom_site_fract_y
_atom_site_fract_z
_atom_site_occupancy
Ga1 Ga 0.071 0.071 0.141 1
Ga2 Ga 0.929 0.929 0.859 1
Hf1 Hf 0.686 0.686 0.372 1
Hf2 Hf 0.314 0.314 0.628 1
C1 C 0.812 0.812 0.625 1
C2 C 0.188 0.188 0.375 1
# Calculated formation energy (meV per atom): -417
# Electronic total energy (eV per atom): -7.82
# SG: No. 139
# Density (Mg/m³): 9.25
# Spin magnetization (μB/atom): 0.00
# Fermi-level density of states (states/eV/cell): 1.0
# Crystal system: tetragonal

***

3.
# HfGa2C PBE-GGA optimized geometry
data_HfGa2C
_cell_length_a 7.030
_cell_length_b 7.030
_cell_length_c 5.521
_cell_angle_alpha 50.45
_cell_angle_beta 50.45
_cell_angle_gamma 90.00
_space_group_name_H-M_alt 'P 1'
_space_group_IT_number 1
loop_
_space_group_symop_operation_xyz
'x,y,z'
loop_
_atom_site_label
_atom_site_type_symbol
_atom_site_fract_x
_atom_site_fract_y
_atom_site_fract_z
_atom_site_occupancy
C1 C 0.500 0.500 0.000 1
C2 C 0.250 0.750 0.500 1
Hf1 Hf 0.000 0.000 0.000 1
Hf2 Hf 0.750 0.250 0.500 1
Ga1 Ga 0.545 0.125 0.250 1
Ga2 Ga 0.205 0.625 0.250 1
Ga3 Ga 0.375 0.455 0.750 1
Ga4 Ga 0.875 0.795 0.750 1
# Calculated formation energy (meV per atom): 293
# Electronic total energy (eV per atom): -6.01
# SG: No. 122
# Density (Mg/m³): 9.23
# Spin magnetization (μB/atom): 0.00
# Fermi-level density of states (states/eV/cell): 3.8
# Crystal system: tetragonal

***

4.
# HfGa3C PBE-GGA optimized geometry
data_HfGa3C
_cell_length_a 4.329
_cell_length_b 4.329
_cell_length_c 4.329
_cell_angle_alpha 90.00
_cell_angle_beta 90.00
_cell_angle_gamma 90.00
_space_group_name_H-M_alt 'P 1'
_space_group_IT_number 1
loop_
_space_group_symop_operation_xyz
'x,y,z'
loop_
_atom_site_label
_atom_site_type_symbol
_atom_site_fract_x
_atom_site_fract_y
_atom_site_fract_z
_atom_site_occupancy
C1 C 0.000 0.000 0.000 1
Hf1 Hf 0.500 0.500 0.500 1
Ga1 Ga 0.000 0.500 0.000 1
Ga2 Ga 0.000 0.000 0.500 1
Ga3 Ga 0.500 0.000 0.000 1
# Calculated formation energy (meV per atom): 703
# Electronic total energy (eV per atom): -4.95
# SG: No. 221
# Density (Mg/m³): 8.18
# Spin magnetization (μB/atom): 0.00
# Fermi-level density of states (states/eV/cell): 3.8
# Crystal system: cubic

***

5.
# HfGa3C PBE-GGA optimized geometry
data_HfGa3C
_cell_length_a 5.257
_cell_length_b 5.257
_cell_length_c 5.257
_cell_angle_alpha 90.00
_cell_angle_beta 90.00
_cell_angle_gamma 90.00
_space_group_name_H-M_alt 'P 1'
_space_group_IT_number 1
loop_
_space_group_symop_operation_xyz
'x,y,z'
loop_
_atom_site_label
_atom_site_type_symbol
_atom_site_fract_x
_atom_site_fract_y
_atom_site_fract_z
_atom_site_occupancy
C1 C 0.500 0.500 0.500 1
Hf1 Hf 0.000 0.000 0.000 1
Ga1 Ga 0.000 0.500 0.000 1
Ga2 Ga 0.000 0.000 0.500 1
Ga3 Ga 0.500 0.000 0.000 1
# Calculated formation energy (meV per atom): 1906
# Electronic total energy (eV per atom): -3.75
# SG: No. 221
# Density (Mg/m³): 4.57
# Spin magnetization (μB/atom): 0.02
# Fermi-level density of states (states/eV/cell): 3.7
# Crystal system: cubic

***

6.
# HfGaC3 PBE-GGA optimized geometry
data_HfGaC3
_cell_length_a 3.897
_cell_length_b 3.897
_cell_length_c 3.897
_cell_angle_alpha 90.00
_cell_angle_beta 90.00
_cell_angle_gamma 90.00
_space_group_name_H-M_alt 'P 1'
_space_group_IT_number 1
loop_
_space_group_symop_operation_xyz
'x,y,z'
loop_
_atom_site_label
_atom_site_type_symbol
_atom_site_fract_x
_atom_site_fract_y
_atom_site_fract_z
_atom_site_occupancy
C1 C 0.000 0.500 0.000 1
C2 C 0.000 0.000 0.500 1
C3 C 0.500 0.000 0.000 1
Hf1 Hf 0.500 0.500 0.500 1
Ga1 Ga 0.000 0.000 0.000 1
# Calculated formation energy (meV per atom): 1866
# Electronic total energy (eV per atom): -6.26
# SG: No. 221
# Density (Mg/m³): 7.97
# Spin magnetization (μB/atom): 0.00
# Fermi-level density of states (states/eV/cell): 3.1
# Crystal system: cubic

***

7.
# HfGaC3 PBE-GGA optimized geometry
data_HfGaC3
_cell_length_a 4.331
_cell_length_b 4.331
_cell_length_c 4.331
_cell_angle_alpha 90.00
_cell_angle_beta 90.00
_cell_angle_gamma 90.00
_space_group_name_H-M_alt 'P 1'
_space_group_IT_number 1
loop_
_space_group_symop_operation_xyz
'x,y,z'
loop_
_atom_site_label
_atom_site_type_symbol
_atom_site_fract_x
_atom_site_fract_y
_atom_site_fract_z
_atom_site_occupancy
C1 C 0.000 0.500 0.000 1
C2 C 0.000 0.000 0.500 1
C3 C 0.500 0.000 0.000 1
Hf1 Hf 0.000 0.000 0.000 1
Ga1 Ga 0.500 0.500 0.500 1
# Calculated formation energy (meV per atom): 1972
# Electronic total energy (eV per atom): -6.16
# SG: No. 221
# Density (Mg/m³): 5.81
# Spin magnetization (μB/atom): 0.00
# Fermi-level density of states (states/eV/cell): 1.7
# Crystal system: cubic

***

8.
# Hf3GaC2 PBE-GGA optimized geometry
data_Hf3GaC2
_cell_length_a 3.273
_cell_length_b 5.286
_cell_length_c 10.526
_cell_angle_alpha 90.00
_cell_angle_beta 90.00
_cell_angle_gamma 90.00
_space_group_name_H-M_alt 'P 1'
_space_group_IT_number 1
loop_
_space_group_symop_operation_xyz
'x,y,z'
loop_
_atom_site_label
_atom_site_type_symbol
_atom_site_fract_x
_atom_site_fract_y
_atom_site_fract_z
_atom_site_occupancy
Hf1 Hf 0.500 0.176 0.131 1
Hf2 Hf 0.500 0.225 0.675 1
Hf3 Hf 0.000 0.210 0.413 1
Hf4 Hf 0.500 0.676 0.869 1
Hf5 Hf 0.500 0.725 0.325 1
Hf6 Hf 0.000 0.710 0.587 1
Ga1 Ga 0.000 0.157 0.902 1
Ga2 Ga 0.000 0.657 0.098 1
C1 C 0.000 0.967 0.230 1
C2 C 0.500 0.966 0.502 1
C3 C 0.000 0.467 0.770 1
C4 C 0.500 0.466 0.498 1
# Calculated formation energy (meV per atom): -587
# Electronic total energy (eV per atom): -9.14
# SG: No. 26
# Density (Mg/m³): 11.47
# Spin magnetization (μB/atom): 0.00
# Fermi-level density of states (states/eV/cell): 5.3
# Crystal system: orthorhombic

***

9.
# Hf2GaC PBE-GGA optimized geometry
data_Hf2GaC
_cell_length_a 3.286
_cell_length_b 3.286
_cell_length_c 7.260
_cell_angle_alpha 76.92
_cell_angle_beta 76.92
_cell_angle_gamma 60.00
_space_group_name_H-M_alt 'P 1'
_space_group_IT_number 1
loop_
_space_group_symop_operation_xyz
'x,y,z'
loop_
_atom_site_label
_atom_site_type_symbol
_atom_site_fract_x
_atom_site_fract_y
_atom_site_fract_z
_atom_site_occupancy
C1 C 0.000 0.000 0.000 1
Hf1 Hf 0.274 0.274 0.178 1
Hf2 Hf 0.726 0.726 0.822 1
Ga1 Ga 0.500 0.500 0.500 1
# Calculated formation energy (meV per atom): -753
# Electronic total energy (eV per atom): -8.79
# SG: No. 166
# Density (Mg/m³): 11.12
# Spin magnetization (μB/atom): 0.00
# Fermi-level density of states (states/eV/cell): 1.2
# Crystal system: trigonal

***

10.
# Hf3Ga2C PBE-GGA optimized geometry
data_Hf3Ga2C
_cell_length_a 5.202
_cell_length_b 6.404
_cell_length_c 7.013
_cell_angle_alpha 103.20
_cell_angle_beta 111.77
_cell_angle_gamma 90.00
_space_group_name_H-M_alt 'P 1'
_space_group_IT_number 1
loop_
_space_group_symop_operation_xyz
'x,y,z'
loop_
_atom_site_label
_atom_site_type_symbol
_atom_site_fract_x
_atom_site_fract_y
_atom_site_fract_z
_atom_site_occupancy
Hf1 Hf 0.500 0.250 0.000 1
Hf2 Hf 0.500 0.750 0.000 1
Hf3 Hf 0.122 0.061 0.245 1
Hf4 Hf 0.877 0.439 0.755 1
Hf5 Hf 0.123 0.561 0.245 1
Hf6 Hf 0.878 0.939 0.755 1
Ga1 Ga 0.686 0.593 0.371 1
Ga2 Ga 0.685 0.093 0.371 1
Ga3 Ga 0.315 0.907 0.629 1
Ga4 Ga 0.314 0.407 0.629 1
C1 C 0.000 0.750 0.000 1
C2 C 0.000 0.250 0.000 1
# Calculated formation energy (meV per atom): -414
# Electronic total energy (eV per atom): -7.94
# SG: No. 71
# Density (Mg/m³): 10.85
# Spin magnetization (μB/atom): 0.00
# Fermi-level density of states (states/eV/cell): 7.0
# Crystal system: orthorhombic

***

11.
# Hf3GaC PBE-GGA optimized geometry
data_Hf3GaC
_cell_length_a 3.371
_cell_length_b 5.958
_cell_length_c 8.925
_cell_angle_alpha 90.00
_cell_angle_beta 90.00
_cell_angle_gamma 106.43
_space_group_name_H-M_alt 'P 1'
_space_group_IT_number 1
loop_
_space_group_symop_operation_xyz
'x,y,z'
loop_
_atom_site_label
_atom_site_type_symbol
_atom_site_fract_x
_atom_site_fract_y
_atom_site_fract_z
_atom_site_occupancy
Hf1 Hf 0.047 0.094 0.750 1
Hf2 Hf 0.953 0.906 0.250 1
Hf3 Hf 0.372 0.744 0.546 1
Hf4 Hf 0.628 0.256 0.454 1
Hf5 Hf 0.628 0.256 0.046 1
Hf6 Hf 0.372 0.744 0.954 1
Ga1 Ga 0.252 0.505 0.250 1
Ga2 Ga 0.748 0.495 0.750 1
C1 C 0.000 0.000 0.500 1
C2 C 0.000 0.000 0.000 1
# Calculated formation energy (meV per atom): -685
# Electronic total energy (eV per atom): -9.11
# SG: No. 63
# Density (Mg/m³): 11.92
# Spin magnetization (μB/atom): 0.00
# Fermi-level density of states (states/eV/cell): 5.7
# Crystal system: orthorhombic

***

12.
# Hf6Ga2C PBE-GGA optimized geometry
data_Hf6Ga2C
_cell_length_a 5.748
_cell_length_b 5.748
_cell_length_c 11.669
_cell_angle_alpha 90.00
_cell_angle_beta 90.00
_cell_angle_gamma 90.00
_space_group_name_H-M_alt 'P 1'
_space_group_IT_number 1
loop_
_space_group_symop_operation_xyz
'x,y,z'
loop_
_atom_site_label
_atom_site_type_symbol
_atom_site_fract_x
_atom_site_fract_y
_atom_site_fract_z
_atom_site_occupancy
Hf1 Hf 0.310 0.310 0.364 1
Hf2 Hf 0.690 0.690 0.364 1
Hf3 Hf 0.190 0.810 0.864 1
Hf4 Hf 0.810 0.190 0.864 1
Hf5 Hf 0.190 0.810 0.136 1
Hf6 Hf 0.810 0.190 0.136 1
Hf7 Hf 0.310 0.310 0.636 1
Hf8 Hf 0.690 0.690 0.636 1
Hf9 Hf 0.286 0.286 0.000 1
Hf10 Hf 0.714 0.714 0.000 1
Hf11 Hf 0.214 0.786 0.500 1
Hf12 Hf 0.786 0.214 0.500 1
Ga1 Ga 0.000 0.000 0.322 1
Ga2 Ga 0.500 0.500 0.822 1
Ga3 Ga 0.500 0.500 0.178 1
Ga4 Ga 0.000 0.000 0.678 1
C1 C 0.000 0.000 0.000 1
C2 C 0.500 0.500 0.500 1
# Calculated formation energy (meV per atom): -8
# Electronic total energy (eV per atom): -8.34
# SG: No. 136
# Density (Mg/m³): 10.53
# Spin magnetization (μB/atom): 0.00
# Fermi-level density of states (states/eV/cell): 9.3
# Crystal system: tetragonal

***

What is the spin magnetization in the ninth record? 0.00 μB/atom